Crystalline CuSnC at its relaxed geometry. Source: the Alexandria database, functional PBE.

D(E_F)	0.356	states/eV per atom
uncorrected energy	-4.807	eV/atom
polymorph energy (0 for the lowest one)	128	meV per atom
energy relative to the elements	0.967	eV/atom

Cell: 6.4912 3.1986 5.0532 Å, 90.00 104.88 90.00°
Space group Cm (No. 8)
Unique sites:
Cu: 0.0000 0.0000 0.0000 (multiplicity 2)
Sn: 0.1217 0.0000 0.5286 (multiplicity 2)
C: 0.4651 0.0000 0.7541 (multiplicity 2)